First-principles (PBE) data for a geometry-optimized Ti5Mn2CuRh2 structure, as listed in Alexandria.

Cell: 3.0046 10.0003 10.0003 Å, 90.00 90.00 90.00°
Fractional positions:
Ti: 0.5000 0.3086 0.6013
Ti: 0.5000 0.0000 0.5000
Mn: 0.0000 0.1303 0.6303
Ti: 0.5000 0.6013 0.6914
Ti: 0.5000 0.6914 0.3987
Mn: 0.0000 0.8697 0.3697
Ti: 0.5000 0.3987 0.3086
Ti: 0.5000 0.5000 0.0000
Ti: 0.5000 0.1914 0.1013
Ti: 0.5000 0.1013 0.8086
Mn: 0.0000 0.6303 0.8697
Rh: 0.0000 0.8335 0.6665
Rh: 0.0000 0.6665 0.1665
Cu: 0.0000 0.0000 0.0000
Mn: 0.0000 0.3697 0.1303
Cu: 0.0000 0.5000 0.5000
Ti: 0.5000 0.8987 0.1914
Rh: 0.0000 0.3335 0.8335
Ti: 0.5000 0.8086 0.8987
Rh: 0.0000 0.1665 0.3335

N(E_F) = 17.2 states/eV/cell
space group = P4/mbm, No. 127
formation energy from the elements = -116 meV/atom
crystal system = tetragonal
VASP energy = -77.8 eV/f.u.


First-principles (PBE) data for a geometry-optimized TiMnCuRh structure, as listed in Alexandria.

Cell: 4.2668 4.2668 4.2668 Å, 60.00 60.00 60.00°
Fractional positions:
Mn: 0.0000 0.0000 0.0000
Cu: 0.7500 0.7500 0.7500
Rh: 0.5000 0.5000 0.5000
Ti: 0.2500 0.2500 0.2500

N(E_F) = 1.7 states/eV/cell
space group = F-43m, No. 216
formation energy from the elements = -274 meV/atom
crystal system = cubic
VASP energy = -29.6 eV/f.u.


First-principles (PBE) data for a geometry-optimized MnCu2Ru structure, as listed in Alexandria.

Cell: 4.4785 4.4785 4.5470 Å, 79.57 79.57 35.01°
Fractional positions:
Ru: 0.2479 0.2479 0.2708
Mn: 0.5001 0.5001 0.4823
Cu: 0.0021 0.0021 0.9789
Cu: 0.7500 0.7500 0.7680

N(E_F) = 4.0 states/eV/cell
space group = Cm, No. 8
formation energy from the elements = 190 meV/atom
crystal system = monoclinic
VASP energy = -25.9 eV/f.u.


First-principles (PBE) data for a geometry-optimized MnCuRu structure, as listed in Alexandria.

Cell: 2.6218 2.6218 6.3515 Å, 90.00 90.00 120.00°
Fractional positions:
Ru: 0.3333 0.6667 0.6487
Cu: 0.0000 0.0000 0.0086
Mn: 0.6667 0.3333 0.3427

N(E_F) = 3.2 states/eV/cell
space group = P3m1, No. 156
formation energy from the elements = 192 meV/atom
crystal system = trigonal
excess energy over the best structure of this formula in the dataset = 0.052 eV/atom
VASP energy = -22.0 eV/f.u.


First-principles (PBE) data for a geometry-optimized Mn2CuRu structure, as listed in Alexandria.

Cell: 4.5467 4.5467 4.5467 Å, 132.30 132.23 69.81°
Fractional positions:
Mn: 0.7500 0.2500 0.5000
Ru: 0.5001 0.5001 0.0000
Mn: 0.9999 0.9999 0.0000
Cu: 0.2500 0.7500 0.5000

N(E_F) = 5.0 states/eV/cell
space group = I-4m2, No. 119
formation energy from the elements = 205 meV/atom
crystal system = tetragonal
VASP energy = -30.9 eV/f.u.


First-principles (PBE) data for a geometry-optimized Mn2CuRu2 structure, as listed in Alexandria.

Cell: 3.9238 3.9238 5.4021 Å, 68.70 68.70 90.00°
Fractional positions:
Mn: 0.6070 0.6070 0.7859
Cu: 0.0000 0.0000 0.0000
Mn: 0.3930 0.3930 0.2141
Ru: 0.2500 0.7500 0.5000
Ru: 0.7500 0.2500 0.5000

N(E_F) = 4.9 states/eV/cell
space group = I4/mmm, No. 139
formation energy from the elements = 496 meV/atom
crystal system = tetragonal
excess energy over the best structure of this formula in the dataset = 0.236 eV/atom
VASP energy = -38.5 eV/f.u.


First-principles (PBE) data for a geometry-optimized MnCu2Ru structure, as listed in Alexandria.

Cell: 4.3404 2.5464 4.7676 Å, 81.75 90.00 90.00°
Fractional positions:
Mn: 0.5000 0.2500 0.2500
Ru: 0.5000 0.7500 0.7500
Cu: 0.0000 0.4511 0.4967
Cu: 0.0000 0.0489 0.0033

N(E_F) = 3.0 states/eV/cell
space group = P2/m, No. 10
formation energy from the elements = 242 meV/atom
crystal system = monoclinic
VASP energy = -25.7 eV/f.u.


First-principles (PBE) data for a geometry-optimized Mn2CuRu structure, as listed in Alexandria.

Cell: 4.5001 4.5001 4.4887 Å, 79.32 79.32 34.72°
Fractional positions:
Ru: 0.4979 0.4979 0.5181
Cu: 0.2509 0.2509 0.2326
Mn: 0.0007 0.0007 0.0181
Mn: 0.7506 0.7506 0.7313

N(E_F) = 4.1 states/eV/cell
space group = Cm, No. 8
formation energy from the elements = 196 meV/atom
crystal system = monoclinic
VASP energy = -30.9 eV/f.u.


First-principles (PBE) data for a geometry-optimized MnCu2Ru structure, as listed in Alexandria.

Cell: 8.7513 8.7513 8.7513 Å, 17.34 17.34 17.34°
Fractional positions:
Mn: 0.2500 0.2500 0.2500
Cu: 0.9985 0.9985 0.9985
Cu: 0.5015 0.5015 0.5015
Ru: 0.7500 0.7500 0.7500

N(E_F) = 4.7 states/eV/cell
space group = R-3m, No. 166
formation energy from the elements = 281 meV/atom
crystal system = trigonal
VASP energy = -25.5 eV/f.u.


First-principles (PBE) data for a geometry-optimized Mn2CuRu structure, as listed in Alexandria.

Cell: 3.7127 3.7183 3.6211 Å, 90.00 90.00 90.00°
Fractional positions:
Cu: 0.0000 0.5000 0.5000
Ru: 0.5000 0.0000 0.5000
Mn: 0.5000 0.5000 0.0000
Mn: 0.0000 0.0000 0.0000

N(E_F) = 6.2 states/eV/cell
space group = P4/mmm, No. 123
formation energy from the elements = 219 meV/atom
crystal system = tetragonal
VASP energy = -30.8 eV/f.u.


First-principles (PBE) data for a geometry-optimized MnCu2Ru structure, as listed in Alexandria.

Cell: 4.4827 4.4827 4.4827 Å, 130.56 130.56 72.52°
Fractional positions:
Cu: 0.2500 0.7500 0.5000
Mn: 0.5000 0.5000 0.0000
Ru: 0.7500 0.2500 0.5000
Cu: 0.0000 0.0000 0.0000

N(E_F) = 3.4 states/eV/cell
space group = I-4m2, No. 119
formation energy from the elements = 162 meV/atom
crystal system = tetragonal
VASP energy = -26.0 eV/f.u.


First-principles (PBE) data for a geometry-optimized MnCuRu structure, as listed in Alexandria.

Cell: 5.7160 5.7161 2.6653 Å, 76.52 76.52 26.96°
Fractional positions:
Mn: 0.3298 0.3298 0.6702
Ru: 0.6742 0.6742 0.3258
Cu: 0.9960 0.9960 0.0040

N(E_F) = 2.7 states/eV/cell
space group = I4mm, No. 107
formation energy from the elements = 196 meV/atom
crystal system = tetragonal
excess energy over the best structure of this formula in the dataset = 0.056 eV/atom
VASP energy = -22.0 eV/f.u.


First-principles (PBE) data for a geometry-optimized Mn4CuRu structure, as listed in Alexandria.

Cell: 4.6339 4.6339 4.6339 Å, 60.00 60.00 60.00°
Fractional positions:
Mn: 0.3736 0.3736 0.3736
Mn: 0.8793 0.3736 0.3736
Mn: 0.3736 0.3736 0.8793
Mn: 0.3736 0.8793 0.3736
Ru: 0.7500 0.7500 0.7500
Cu: 0.0000 0.0000 0.0000

N(E_F) = 7.5 states/eV/cell
space group = F-43m, No. 216
formation energy from the elements = 205 meV/atom
crystal system = cubic
VASP energy = -48.8 eV/f.u.


First-principles (PBE) data for a geometry-optimized MnCu2Ru structure, as listed in Alexandria.

Cell: 2.7061 2.7061 6.9700 Å, 90.00 90.00 90.23°
Fractional positions:
Mn: 0.0000 0.0000 0.5011
Cu: 0.0000 0.0000 0.0105
Cu: 0.5000 0.5000 0.2481
Ru: 0.5000 0.5000 0.7404

N(E_F) = 3.3 states/eV/cell
space group = Cmm2, No. 35
formation energy from the elements = 153 meV/atom
crystal system = orthorhombic
VASP energy = -26.0 eV/f.u.


First-principles (PBE) data for a geometry-optimized Mn2CuRu structure, as listed in Alexandria.

Cell: 4.1579 4.1579 4.1579 Å, 60.00 60.00 60.00°
Fractional positions:
Cu: 0.5000 0.5000 0.5000
Mn: 0.2500 0.2500 0.2500
Ru: 0.7500 0.7500 0.7500
Mn: 0.0000 0.0000 0.0000

N(E_F) = 2.1 states/eV/cell
space group = F-43m, No. 216
formation energy from the elements = 241 meV/atom
crystal system = cubic
VASP energy = -30.7 eV/f.u.


First-principles (PBE) data for a geometry-optimized Mn2CuRu structure, as listed in Alexandria.

Cell: 2.6597 3.6355 5.2841 Å, 90.00 90.00 90.00°
Fractional positions:
Cu: 0.5000 0.5000 0.7557
Mn: 0.5000 0.5000 0.2532
Mn: 0.0000 0.0000 0.9966
Ru: 0.0000 0.0000 0.4945

N(E_F) = 3.4 states/eV/cell
space group = Pmm2, No. 25
formation energy from the elements = 113 meV/atom
crystal system = orthorhombic
VASP energy = -31.3 eV/f.u.


First-principles (PBE) data for a geometry-optimized Mn2CuRu2 structure, as listed in Alexandria.

Cell: 7.1274 7.1274 2.6179 Å, 90.00 90.00 90.00°
Fractional positions:
Cu: 0.0000 0.0000 0.0000
Ru: 0.1301 0.3699 0.0000
Ru: 0.8699 0.6301 0.0000
Mn: 0.6636 0.8364 0.5000
Mn: 0.1636 0.6636 0.5000
Ru: 0.6301 0.1301 0.0000
Mn: 0.3364 0.1636 0.5000
Ru: 0.3699 0.8699 0.0000
Cu: 0.5000 0.5000 0.0000
Mn: 0.8364 0.3364 0.5000

N(E_F) = 13.4 states/eV/cell
space group = P4/mbm, No. 127
formation energy from the elements = 322 meV/atom
crystal system = tetragonal
excess energy over the best structure of this formula in the dataset = 0.062 eV/atom
VASP energy = -39.4 eV/f.u.


First-principles (PBE) data for a geometry-optimized MnCu2Ru structure, as listed in Alexandria.

Cell: 2.5631 2.5631 8.8504 Å, 90.00 90.00 116.59°
Fractional positions:
Mn: 0.5000 0.5000 0.2500
Cu: 0.0000 0.0000 0.0071
Cu: 0.0000 0.0000 0.4929
Ru: 0.5000 0.5000 0.7500

N(E_F) = 4.0 states/eV/cell
space group = Cmmm, No. 65
formation energy from the elements = 343 meV/atom
crystal system = orthorhombic
VASP energy = -25.3 eV/f.u.


First-principles (PBE) data for a geometry-optimized Mn2CuRu structure, as listed in Alexandria.

Cell: 2.6407 2.6407 8.2712 Å, 90.00 90.00 111.77°
Fractional positions:
Mn: 0.0000 0.0000 0.5013
Cu: 0.5000 0.5000 0.7500
Mn: 0.0000 0.0000 0.9987
Ru: 0.5000 0.5000 0.2500

N(E_F) = 3.9 states/eV/cell
space group = Cmmm, No. 65
formation energy from the elements = 283 meV/atom
crystal system = orthorhombic
VASP energy = -30.6 eV/f.u.


First-principles (PBE) data for a geometry-optimized MnCuRu structure, as listed in Alexandria.

Cell: 2.6996 3.8135 12.4265 Å, 117.36 115.72 45.07°
Fractional positions:
Cu: 0.1125 0.4976 0.1391
Mn: 0.4307 0.8181 0.4583
Ru: 0.6030 0.4900 0.6308
Mn: 0.9485 0.8327 0.9750
Ru: 0.7760 0.1608 0.8025
Cu: 0.2670 0.1533 0.2940

N(E_F) = 6.6 states/eV/cell
space group = C2/m, No. 12
formation energy from the elements = 140 meV/atom
crystal system = monoclinic
excess energy over the best structure of this formula in the dataset = 0.000 eV/atom
VASP energy = -22.1 eV/f.u.


First-principles (PBE) data for a geometry-optimized Mn2CuRu structure, as listed in Alexandria.

Cell: 2.6523 2.6523 7.1748 Å, 90.00 90.00 90.00°
Fractional positions:
Ru: 0.0000 0.0000 0.4871
Mn: 0.5000 0.5000 0.2479
Cu: 0.5000 0.5000 0.7567
Mn: 0.0000 0.0000 0.0082

N(E_F) = 4.5 states/eV/cell
space group = P4mm, No. 99
formation energy from the elements = 169 meV/atom
crystal system = tetragonal
VASP energy = -31.0 eV/f.u.


First-principles (PBE) data for a geometry-optimized MnCuRu structure, as listed in Alexandria.

Cell: 3.9478 3.9478 3.9478 Å, 60.00 60.00 60.00°
Fractional positions:
Cu: 0.5000 0.5000 0.5000
Mn: 0.7500 0.7500 0.7500
Ru: 0.0000 0.0000 0.0000

N(E_F) = 1.4 states/eV/cell
space group = F-43m, No. 216
formation energy from the elements = 514 meV/atom
crystal system = cubic
excess energy over the best structure of this formula in the dataset = 0.375 eV/atom
VASP energy = -21.0 eV/f.u.


First-principles (PBE) data for a geometry-optimized MnCu3Ru structure, as listed in Alexandria.

Cell: 4.3660 4.3660 4.3660 Å, 90.00 90.00 90.00°
Fractional positions:
Cu: 0.5000 0.0000 0.0000
Cu: 0.0000 0.5000 0.0000
Cu: 0.0000 0.0000 0.5000
Ru: 0.5000 0.5000 0.5000
Mn: 0.0000 0.0000 0.0000

N(E_F) = 2.1 states/eV/cell
space group = Pm-3m, No. 221
formation energy from the elements = 1389 meV/atom
crystal system = cubic
VASP energy = -23.8 eV/f.u.


First-principles (PBE) data for a geometry-optimized MnCu2Ru structure, as listed in Alexandria.

Cell: 4.6645 4.6645 4.6645 Å, 134.22 134.22 66.75°
Fractional positions:
Mn: 0.2500 0.7500 0.5000
Cu: 0.0000 0.0000 0.0000
Ru: 0.7500 0.2500 0.5000
Cu: 0.5000 0.5000 0.0000

N(E_F) = 5.8 states/eV/cell
space group = I4/mmm, No. 139
formation energy from the elements = 200 meV/atom
crystal system = tetragonal
VASP energy = -25.8 eV/f.u.


First-principles (PBE) data for a geometry-optimized MnCu2Ru structure, as listed in Alexandria.

Cell: 4.1100 4.1100 4.1100 Å, 60.00 60.00 60.00°
Fractional positions:
Cu: 0.2500 0.2500 0.2500
Cu: 0.7500 0.7500 0.7500
Ru: 0.5000 0.5000 0.5000
Mn: 0.0000 0.0000 0.0000

N(E_F) = 5.1 states/eV/cell
space group = Fm-3m, No. 225
formation energy from the elements = 493 meV/atom
crystal system = cubic
VASP energy = -24.7 eV/f.u.


First-principles (PBE) data for a geometry-optimized Mn2CuRu2 structure, as listed in Alexandria.

Cell: 3.1321 3.1321 7.0651 Å, 77.19 77.19 90.00°
Fractional positions:
Ru: 0.3987 0.3987 0.2027
Mn: 0.7500 0.2500 0.5000
Ru: 0.6013 0.6013 0.7973
Mn: 0.2500 0.7500 0.5000
Cu: 0.0000 0.0000 0.0000

N(E_F) = 5.1 states/eV/cell
space group = I4/mmm, No. 139
formation energy from the elements = 491 meV/atom
crystal system = tetragonal
excess energy over the best structure of this formula in the dataset = 0.232 eV/atom
VASP energy = -38.5 eV/f.u.


First-principles (PBE) data for a geometry-optimized Mn2CuRu2 structure, as listed in Alexandria.

Cell: 7.0330 7.0330 2.6458 Å, 90.00 90.00 90.00°
Fractional positions:
Ru: 0.1695 0.6695 0.5000
Cu: 0.5000 0.5000 0.0000
Ru: 0.8305 0.3305 0.5000
Cu: 0.0000 0.0000 0.0000
Ru: 0.6695 0.8305 0.5000
Mn: 0.6205 0.1205 0.0000
Mn: 0.1205 0.3795 0.0000
Ru: 0.3305 0.1695 0.5000
Mn: 0.3795 0.8795 0.0000
Mn: 0.8795 0.6205 0.0000

N(E_F) = 11.5 states/eV/cell
space group = P4/mbm, No. 127
formation energy from the elements = 260 meV/atom
crystal system = tetragonal
excess energy over the best structure of this formula in the dataset = 0.000 eV/atom
VASP energy = -39.7 eV/f.u.


First-principles (PBE) data for a geometry-optimized Mn2CuRu structure, as listed in Alexandria.

Cell: 4.0124 2.6111 5.0334 Å, 74.82 90.00 90.00°
Fractional positions:
Mn: 0.5000 0.0621 0.2505
Mn: 0.0000 0.1913 0.9941
Cu: 0.5000 0.8027 0.7707
Ru: 0.0000 0.4440 0.4847

N(E_F) = 3.5 states/eV/cell
space group = Pm, No. 6
formation energy from the elements = 166 meV/atom
crystal system = monoclinic
VASP energy = -31.0 eV/f.u.


First-principles (PBE) data for a geometry-optimized Mn2CuRu structure, as listed in Alexandria.

Cell: 8.5990 8.5990 8.5990 Å, 17.33 17.33 17.33°
Fractional positions:
Mn: 0.5003 0.5003 0.5003
Mn: 0.9997 0.9997 0.9997
Cu: 0.7500 0.7500 0.7500
Ru: 0.2500 0.2500 0.2500

N(E_F) = 5.3 states/eV/cell
space group = R-3m, No. 166
formation energy from the elements = 246 meV/atom
crystal system = trigonal
VASP energy = -30.7 eV/f.u.